DFT (PBE-GGA) results for a relaxed structure of NpNb2Tc.

Summary:
DOS at the Fermi energy = 9.83 states/eV/f.u.
energy above the most stable polymorph in this dataset = 99 meV per atom
energy of formation from the pure elements = 214 meV per atom
uncorrected energy = -10.647 eV/atom
mass density = 12.1 g cm⁻³
V = 17.92 A^3/atom
magnetic moment = 2.7 Bohr magnetons per cell

Cell: 4.6625 4.6625 4.6625 Å, 60.00 60.00 60.00°
With the nearest neighbours (Å) after each atom.
Fractional positions:
1 Nb 0.2500 0.2500 0.2500  4 Tc 2.86, 4 Np 2.86
2 Nb 0.7500 0.7500 0.7500  4 Tc 2.86, 4 Np 2.86
3 Tc 0.5000 0.5000 0.5000  8 Nb 2.86
4 Np 0.0000 0.0000 0.0000  8 Nb 2.86